*one*
Sm3TcC3 after structural relaxation. Source: Alexandria, functional PBE-GGA.

Cell: 7.674 7.674 5.182 Å, 90.00 90.00 120.00°
Sites, in units of the cell vectors:
Sm1 0.088 0.365 0.250
Sm2 0.277 0.912 0.250
Sm3 0.365 0.277 0.750
Sm4 0.635 0.723 0.250
Sm5 0.723 0.088 0.750
Sm6 0.912 0.635 0.750
Tc1 0.333 0.667 0.750
Tc2 0.667 0.333 0.250
C1 0.099 0.404 0.750
C2 0.305 0.901 0.750
C3 0.404 0.305 0.250
C4 0.596 0.695 0.750
C5 0.695 0.099 0.250
C6 0.901 0.596 0.250

## Properties
size of the total moment	0.0001	μB/atom
density	7.352	g/cm3

---

*two*
Sm3TcC3 after structural relaxation. Source: Alexandria, functional PBE-GGA.

Cell: 6.934 6.934 5.304 Å, 90.00 90.00 100.83°
Sites, in units of the cell vectors:
Sm1 0.108 0.892 0.750
Sm2 0.170 0.409 0.750
Sm3 0.409 0.170 0.250
Sm4 0.591 0.830 0.750
Sm5 0.830 0.591 0.250
Sm6 0.892 0.108 0.250
Tc1 0.306 0.694 0.250
Tc2 0.694 0.306 0.750
C1 0.124 0.876 0.250
C2 0.174 0.423 0.250
C3 0.423 0.174 0.750
C4 0.577 0.826 0.250
C5 0.826 0.577 0.750
C6 0.876 0.124 0.750

## Properties
size of the total moment	0.0000	μB/atom
density	7.758	g/cm3

---

Pick the least stable structure from those above. Pick: *one*